Compound: ZnCoOs2
Source: Alexandria
Functional: GGA-PBE
Structure: optimized geometry

```
ZnCoOs2
1.0
4.629 0.003 -0.004
3.841 2.583 -0.004
0.756 0.231 4.494
Os Co Zn
2 1 1
Cartesian
9.172 2.801 4.386 Os
6.887 2.103 3.478 Os
2.376 0.725 1.236 Co
4.629 1.413 2.115 Zn
```

Calculated values
Its space group is Cm (8). The value obtained for the volume is 13.4 A^3/atom. The calculation puts the energy relative to the elements at 0.213 eV per atom.